# 1
# PBE GdYNi2P2, optimized geometry
# Electronic total energy: -80.8 eV per cell
# E above lowest polymorph: 0 meV/atom
data_GdYNi2P2
_chemical_formula_sum 'Gd2 Y2 Ni4 P4'
_space_group_name_H-M_alt 'P 1'
_space_group_IT_number 1
_space_group_name_Hall 'P 1'
_cell_length_a 3.9065
_cell_length_b 3.9065
_cell_length_c 15.5064
_cell_angle_alpha 90.00
_cell_angle_beta 90.00
_cell_angle_gamma 120.00
loop_
_atom_site_label
_atom_site_fract_x
_atom_site_fract_y
_atom_site_fract_z
_atom_site_occupancy
Y1 0.0000 0.0000 0.2500 1
Y2 0.0000 0.0000 0.7500 1
Ni1 0.3333 0.6667 0.1281 1
Ni2 0.6667 0.3333 0.6281 1
Ni3 0.3333 0.6667 0.3719 1
Ni4 0.6667 0.3333 0.8719 1
P1 0.6667 0.3333 0.3767 1
P2 0.3333 0.6667 0.8767 1
P3 0.3333 0.6667 0.6233 1
P4 0.6667 0.3333 0.1233 1
Gd1 0.0000 0.0000 0.5000 1
Gd2 0.0000 0.0000 0.0000 1


# 2
# PBE GdNiPb, optimized geometry
# Electronic total energy: -30.2 eV per cell
data_GdNiPb
_chemical_formula_sum 'Gd2 Ni2 Pb2'
_space_group_name_H-M_alt 'P 1'
_space_group_IT_number 1
_space_group_name_Hall 'P 1'
_cell_length_a 4.6007
_cell_length_b 4.6007
_cell_length_c 7.2172
_cell_angle_alpha 90.00
_cell_angle_beta 90.00
_cell_angle_gamma 120.00
loop_
_atom_site_label
_atom_site_fract_x
_atom_site_fract_y
_atom_site_fract_z
_atom_site_occupancy
Ni1 0.6667 0.3333 0.5392 1
Ni2 0.3333 0.6667 0.0392 1
Gd1 0.0000 0.0000 0.7372 1
Gd2 0.0000 0.0000 0.2372 1
Pb1 0.3333 0.6667 0.4737 1
Pb2 0.6667 0.3333 0.9737 1


Q: The lowest electronic total energy belongs to which entry?
A: GdYNi2P2


Q: What is the electronic total energy in the second record?
A: -30.2 eV per cell


Q: The highest electronic total energy belongs to which entry?
A: GdNiPb